[1]
GdPPd | the Open Quantum Materials Database | PBE-GGA | relaxed; calculated total energy = -6.34 eV/atom; symmetry = No. 194
1.0
-0.400 3.958 -1.293
-1.318 -1.097 3.816
6.901 1.627 2.851
Gd P Pd
2 2 2
Cartesian
3.450 0.814 1.425
0.000 0.000 0.000
1.020 2.680 1.123
4.164 1.808 4.251
0.714 0.995 2.826
4.470 3.494 2.548

[2]
GdSiPPd2 | the Open Quantum Materials Database | PBE-GGA | relaxed; calculated total energy = -6.16 eV/atom; symmetry = No. 107
1.0
-2.068 2.068 4.986
2.068 -2.068 4.986
2.068 2.068 -4.986
P Gd Pd Si
1 1 2 1
Cartesian
0.000 0.000 6.082
0.000 0.000 0.022
2.068 0.000 2.516
0.000 2.068 2.516
0.000 0.000 3.823

[3]
PmGdP2 | the Open Quantum Materials Database | PBE-GGA | relaxed; calculated total energy = -6.64 eV/atom; symmetry = No. 123
1.0
-3.281 0.399 2.410
-0.941 -3.930 -0.630
3.188 -1.499 4.588
P Pm Gd
2 1 1
Cartesian
-0.517 -2.515 3.184
0.000 0.000 0.000
-2.111 -1.766 0.890
1.594 -0.750 2.294

[4]
Pr2GdP3 | the Open Quantum Materials Database | PBE-GGA | relaxed; calculated total energy = -6.61 eV/atom; symmetry = No. 164
1.0
4.154 0.000 0.000
-2.077 3.598 0.000
0.000 0.000 10.159
P Pr Gd
3 2 1
Cartesian
0.000 2.398 3.465
2.077 1.199 6.694
0.000 0.000 0.000
2.077 1.199 1.729
0.000 2.398 8.430
0.000 0.000 5.080

[5]
GdRe4P2 | the Open Quantum Materials Database | PBE-GGA | relaxed; calculated total energy = -9.18 eV/atom; symmetry = No. 12
1.0
4.125 -4.681 0.000
4.125 4.681 0.000
-0.019 0.000 2.923
Gd Re P
1 4 2
Cartesian
0.000 0.000 0.000
4.125 1.866 0.000
2.818 0.000 1.453
5.413 0.000 1.470
4.125 -1.866 0.000
2.053 -2.340 1.461
2.053 2.340 1.461

[6]
Gd3P2S | the Open Quantum Materials Database | PBE-GGA | relaxed; calculated total energy = -6.62 eV/atom; symmetry = No. 164
1.0
-1.185 -2.231 3.131
-1.373 -0.823 -3.691
7.596 -6.095 -1.467
S Gd P
1 3 2
Cartesian
0.000 0.000 0.000
0.076 -2.823 0.602
4.962 -6.325 -2.628
3.798 -3.047 -0.733
1.204 -3.310 -1.902
3.834 -5.839 -0.124